[1]
# PBE GeTeSe, relaxed
# Uncorrected formation energy (meV per atom): 10
# Energy above the lowest structure with this stoichiometry (meV/atom): 116
data_GeTeSe
_chemical_formula_sum 'Ge1 Te1 Se1'
_cell_length_a 4.0721
_cell_length_b 4.0721
_cell_length_c 5.2091
_cell_angle_alpha 90.00
_cell_angle_beta 90.00
_cell_angle_gamma 120.00
_symmetry_space_group_name_H-M 'P 3 m 1'
_symmetry_Int_Tables_number 156
_symmetry_space_group_name_Hall 'P 3 -2"'
loop_
_atom_site_label
_atom_site_fract_x
_atom_site_fract_y
_atom_site_fract_z
Ge1 0.0000 0.0000 0.0000
Te1 0.6667 0.3333 0.3149
Se1 0.3333 0.6667 0.7140

***

[2]
# PBE SiTe2, relaxed
# Uncorrected formation energy (meV per atom): 495
data_SiTe2
_chemical_formula_sum 'Si1 Te2'
_cell_length_a 5.5567
_cell_length_b 5.5567
_cell_length_c 3.0154
_cell_angle_alpha 90.00
_cell_angle_beta 90.00
_cell_angle_gamma 120.00
_symmetry_space_group_name_H-M 'P -3 m 1'
_symmetry_Int_Tables_number 164
_symmetry_space_group_name_Hall '-P 3 2"'
loop_
_atom_site_label
_atom_site_fract_x
_atom_site_fract_y
_atom_site_fract_z
Si1 0.0000 0.0000 0.0000
Te1 0.3333 0.6667 0.0017

***

[3]
# PBE Cu2BiTe2, relaxed
# Uncorrected formation energy (meV per atom): 178
data_Cu2BiTe2
_chemical_formula_sum 'Cu4 Bi2 Te4'
_cell_length_a 7.6787
_cell_length_b 7.6787
_cell_length_c 3.7279
_cell_angle_alpha 90.00
_cell_angle_beta 90.00
_cell_angle_gamma 90.00
_symmetry_space_group_name_H-M 'P 4/m b m'
_symmetry_Int_Tables_number 127
_symmetry_space_group_name_Hall '-P 4 2ab'
loop_
_atom_site_label
_atom_site_fract_x
_atom_site_fract_y
_atom_site_fract_z
Cu1 0.1165 0.3835 0.0000
Bi1 0.0000 0.0000 0.0000
Te1 0.1736 0.6736 0.5000

***

[4]
# PBE YGaNO2, relaxed
# Uncorrected formation energy (meV per atom): -1438
data_YGaNO2
_chemical_formula_sum 'Y1 Ga1 N1 O2'
_cell_length_a 3.8711
_cell_length_b 3.8711
_cell_length_c 3.8681
_cell_angle_alpha 90.00
_cell_angle_beta 90.00
_cell_angle_gamma 90.00
_symmetry_space_group_name_H-M 'P 4/m m m'
_symmetry_Int_Tables_number 123
_symmetry_space_group_name_Hall '-P 4 2'
loop_
_atom_site_label
_atom_site_fract_x
_atom_site_fract_y
_atom_site_fract_z
Y1 0.0000 0.0000 0.0000
Ga1 0.5000 0.5000 0.5000
N1 0.5000 0.5000 0.0000
O1 0.0000 0.5000 0.5000

***

[5]
# PBE Pr6Sm3Er2Tm, relaxed
# E_form (meV/atom): 14
data_Pr6Sm3Er2Tm
_chemical_formula_sum 'Pr12 Sm6 Er4 Tm2'
_cell_length_a 6.3257
_cell_length_b 10.9591
_cell_length_c 11.9432
_cell_angle_alpha 90.00
_cell_angle_beta 100.15
_cell_angle_gamma 90.00
_symmetry_space_group_name_H-M 'C 1 2/m 1'
_symmetry_Int_Tables_number 12
_symmetry_space_group_name_Hall '-C 2y'
loop_
_atom_site_label
_atom_site_fract_x
_atom_site_fract_y
_atom_site_fract_z
Pr1 0.2494 0.0000 0.2465
Pr2 0.2492 0.3334 0.2464
Sm1 0.0000 0.0000 0.5000
Sm2 0.0000 0.3333 0.5000
Er1 0.0000 0.1667 0.0000
Tm1 0.0000 0.5000 0.0000

***

[6]
# PBE Cs2CdAsPd, relaxed
# E_form (meV/atom): -151
data_Cs2CdAsPd
_chemical_formula_sum 'Cs2 Cd1 As1 Pd1'
_cell_length_a 6.9072
_cell_length_b 6.9072
_cell_length_c 4.6946
_cell_angle_alpha 90.00
_cell_angle_beta 90.00
_cell_angle_gamma 90.00
_symmetry_space_group_name_H-M 'P 4/m m m'
_symmetry_Int_Tables_number 123
_symmetry_space_group_name_Hall '-P 4 2'
loop_
_atom_site_label
_atom_site_fract_x
_atom_site_fract_y
_atom_site_fract_z
Cs1 0.0000 0.5000 0.0000
Cd1 0.0000 0.0000 0.5000
As1 0.5000 0.5000 0.5000
Pd1 0.5000 0.5000 0.0000

***

[7]
# PBE PrTmSc2Hg4, relaxed
# E_form (meV/atom): -426
data_PrTmSc2Hg4
_chemical_formula_sum 'Pr3 Tm3 Sc6 Hg12'
_cell_length_a 5.1462
_cell_length_b 5.1462
_cell_length_c 25.5926
_cell_angle_alpha 90.00
_cell_angle_beta 90.00
_cell_angle_gamma 120.00
_symmetry_space_group_name_H-M 'R -3 m'
_symmetry_Int_Tables_number 166
_symmetry_space_group_name_Hall '-R 3 2"'
loop_
_atom_site_label
_atom_site_fract_x
_atom_site_fract_y
_atom_site_fract_z
Pr1 0.0000 0.0000 0.0000
Tm1 0.0000 0.0000 0.5000
Sc1 0.0000 0.0000 0.2488
Hg1 0.0000 0.0000 0.1283
Hg2 0.0000 0.0000 0.3803

***

[8]
# PBE Li12GaPd7, relaxed
# E_form (meV/atom): -288
data_Li12GaPd7
_chemical_formula_sum 'Li36 Ga3 Pd21'
_cell_length_a 9.7499
_cell_length_b 9.7499
_cell_length_c 10.6643
_cell_angle_alpha 90.00
_cell_angle_beta 90.00
_cell_angle_gamma 120.00
_symmetry_space_group_name_H-M 'R -3'
_symmetry_Int_Tables_number 148
_symmetry_space_group_name_Hall '-R 3'
loop_
_atom_site_label
_atom_site_fract_x
_atom_site_fract_y
_atom_site_fract_z
Li1 0.0324 0.5811 0.2045
Li2 0.0666 0.4703 0.5837
Ga1 0.0000 0.0000 0.5000
Pd1 0.0000 0.0000 0.0000
Pd2 0.0459 0.8620 0.3076

***

[9]
# PBE Zr4BiTe5, relaxed
# Uncorrected formation energy (meV per atom): -695
data_Zr4BiTe5
_chemical_formula_sum 'Zr8 Bi2 Te10'
_cell_length_a 17.9142
_cell_length_b 4.0278
_cell_length_c 8.4757
_cell_angle_alpha 90.00
_cell_angle_beta 101.13
_cell_angle_gamma 90.00
_symmetry_space_group_name_H-M 'C 1 2/m 1'
_symmetry_Int_Tables_number 12
_symmetry_space_group_name_Hall '-C 2y'
loop_
_atom_site_label
_atom_site_fract_x
_atom_site_fract_y
_atom_site_fract_z
Zr1 0.0015 0.0000 0.2457
Zr2 0.1728 0.5000 0.5642
Bi1 0.0000 0.5000 0.5000
Te1 0.0000 0.5000 0.0000
Te2 0.1632 0.0000 0.8153
Te3 0.1681 0.0000 0.3034

***

[10]
# PBE Re2BH, relaxed
# Energy above the lowest structure with this stoichiometry (meV/atom): 100
data_Re2BH
_chemical_formula_sum 'Re8 B4 H4'
_cell_length_a 4.5022
_cell_length_b 4.5022
_cell_length_c 8.6973
_cell_angle_alpha 90.00
_cell_angle_beta 90.00
_cell_angle_gamma 90.00
_symmetry_space_group_name_H-M 'I -4 2 d'
_symmetry_Int_Tables_number 122
_symmetry_space_group_name_Hall 'I -4 2bw'
loop_
_atom_site_label
_atom_site_fract_x
_atom_site_fract_y
_atom_site_fract_z
Re1 0.2006 0.2500 0.1250
B1 0.0000 0.0000 0.5000
H1 0.0000 0.0000 0.0000

***

[11]
# PBE PmNd2Se4, relaxed
# Uncorrected formation energy (meV per atom): -1853
# Energy above the lowest structure with this stoichiometry (meV/atom): 0
data_PmNd2Se4
_chemical_formula_sum 'Pm4 Nd8 Se16'
_cell_length_a 4.0892
_cell_length_b 13.9857
_cell_length_c 14.1534
_cell_angle_alpha 90.00
_cell_angle_beta 90.00
_cell_angle_gamma 90.00
_symmetry_space_group_name_H-M 'C m c m'
_symmetry_Int_Tables_number 63
_symmetry_space_group_name_Hall '-C 2c 2'
loop_
_atom_site_label
_atom_site_fract_x
_atom_site_fract_y
_atom_site_fract_z
Pm1 0.0000 0.1265 0.2500
Nd1 0.0000 0.3699 0.0704
Se1 0.0000 0.0000 0.0000
Se2 0.0000 0.2779 0.6238
Se3 0.0000 0.4740 0.2500

***

[12]
# PBE PuHf2Cd, relaxed
# E_form (meV/atom): 58
# Energy above the lowest structure with this stoichiometry (meV/atom): 0
data_PuHf2Cd
_chemical_formula_sum 'Pu1 Hf2 Cd1'
_cell_length_a 3.2386
_cell_length_b 3.2386
_cell_length_c 8.5850
_cell_angle_alpha 90.00
_cell_angle_beta 90.00
_cell_angle_gamma 90.00
_symmetry_space_group_name_H-M 'P 4/m m m'
_symmetry_Int_Tables_number 123
_symmetry_space_group_name_Hall '-P 4 2'
loop_
_atom_site_label
_atom_site_fract_x
_atom_site_fract_y
_atom_site_fract_z
Pu1 0.0000 0.0000 0.0000
Hf1 0.5000 0.5000 0.2557
Cd1 0.0000 0.0000 0.5000

***

[13]
# PBE La2AlBMo, relaxed
# E_form (meV/atom): 1360
data_La2AlBMo
_chemical_formula_sum 'La2 Al1 B1 Mo1'
_cell_length_a 5.6597
_cell_length_b 5.6597
_cell_length_c 4.6454
_cell_angle_alpha 90.00
_cell_angle_beta 90.00
_cell_angle_gamma 90.00
_symmetry_space_group_name_H-M 'P 4/m m m'
_symmetry_Int_Tables_number 123
_symmetry_space_group_name_Hall '-P 4 2'
loop_
_atom_site_label
_atom_site_fract_x
_atom_site_fract_y
_atom_site_fract_z
La1 0.0000 0.5000 0.0000
Al1 0.0000 0.0000 0.0000
B1 0.5000 0.5000 0.5000
Mo1 0.0000 0.0000 0.5000

***

[14]
# PBE TmThMn17, relaxed
# E_form (meV/atom): -3
data_TmThMn17
_chemical_formula_sum 'Tm3 Th3 Mn51'
_cell_length_a 8.6592
_cell_length_b 8.6592
_cell_length_c 11.6857
_cell_angle_alpha 90.00
_cell_angle_beta 90.00
_cell_angle_gamma 120.00
_symmetry_space_group_name_H-M 'R 3 m'
_symmetry_Int_Tables_number 160
_symmetry_space_group_name_Hall 'R 3 -2"'
loop_
_atom_site_label
_atom_site_fract_x
_atom_site_fract_y
_atom_site_fract_z
Tm1 0.0000 0.0000 0.0000
Th1 0.0000 0.0000 0.7064
Mn1 0.0000 0.0000 0.2522
Mn2 0.0000 0.0000 0.4508
Mn3 0.0024 0.5012 0.8495
Mn4 0.0123 0.5062 0.2144
Mn5 0.0604 0.3930 0.0174
Mn6 0.1733 0.3467 0.8240

***

[15]
# PBE LiTeRh, relaxed
# Uncorrected formation energy (meV per atom): -489
# Energy above the lowest structure with this stoichiometry (meV/atom): 74
data_LiTeRh
_chemical_formula_sum 'Li4 Te4 Rh4'
_cell_length_a 6.1132
_cell_length_b 6.1132
_cell_length_c 6.1132
_cell_angle_alpha 90.00
_cell_angle_beta 90.00
_cell_angle_gamma 90.00
_symmetry_space_group_name_H-M 'F -4 3 m'
_symmetry_Int_Tables_number 216
_symmetry_space_group_name_Hall 'F -4 2 3'
loop_
_atom_site_label
_atom_site_fract_x
_atom_site_fract_y
_atom_site_fract_z
Li1 0.0000 0.0000 0.0000
Te1 0.0000 0.0000 0.5000
Rh1 0.2500 0.2500 0.2500

***

[16]
# PBE Dy2YCo, relaxed
# E_form (meV/atom): -132
# Energy above the lowest structure with this stoichiometry (meV/atom): 25
data_Dy2YCo
_chemical_formula_sum 'Dy8 Y4 Co4'
_cell_length_a 3.6982
_cell_length_b 11.9042
_cell_length_c 9.3421
_cell_angle_alpha 90.00
_cell_angle_beta 90.00
_cell_angle_gamma 90.00
_symmetry_space_group_name_H-M 'C m c m'
_symmetry_Int_Tables_number 63
_symmetry_space_group_name_Hall '-C 2c 2'
loop_
_atom_site_label
_atom_site_fract_x
_atom_site_fract_y
_atom_site_fract_z
Dy1 0.0000 0.1407 0.0717
Y1 0.0000 0.4168 0.2500
Co1 0.0000 0.2558 0.7500

***

[17]
# PBE LiInSe, relaxed
# Uncorrected formation energy (meV per atom): -256
# Energy above the lowest structure with this stoichiometry (meV/atom): 408
data_LiInSe
_chemical_formula_sum 'Li4 In4 Se4'
_cell_length_a 6.9406
_cell_length_b 6.9406
_cell_length_c 6.9406
_cell_angle_alpha 90.00
_cell_angle_beta 90.00
_cell_angle_gamma 90.00
_symmetry_space_group_name_H-M 'F -4 3 m'
_symmetry_Int_Tables_number 216
_symmetry_space_group_name_Hall 'F -4 2 3'
loop_
_atom_site_label
_atom_site_fract_x
_atom_site_fract_y
_atom_site_fract_z
Li1 0.0000 0.0000 0.0000
In1 0.2500 0.2500 0.2500
Se1 0.0000 0.0000 0.5000

***

[18]
# PBE Dy2Y2TmTh, relaxed
# E_form (meV/atom): 33
data_Dy2Y2TmTh
_chemical_formula_sum 'Dy4 Y4 Tm2 Th2'
_cell_length_a 5.0091
_cell_length_b 10.6856
_cell_length_c 7.1056
_cell_angle_alpha 90.00
_cell_angle_beta 90.00
_cell_angle_gamma 90.00
_symmetry_space_group_name_H-M 'P m c 21'
_symmetry_Int_Tables_number 26
_symmetry_space_group_name_Hall 'P 2c -2'
loop_
_atom_site_label
_atom_site_fract_x
_atom_site_fract_y
_atom_site_fract_z
Dy1 0.0000 0.1633 0.0000
Dy2 0.5000 0.3292 0.7455
Y1 0.0000 0.4992 0.5009
Y2 0.5000 0.3300 0.2561
Tm1 0.5000 0.9995 0.2506
Th1 0.0000 0.1666 0.5019

***

[19]
# PBE LiSnHgBi, relaxed
# E_form (meV/atom): -146
# Energy above the lowest structure with this stoichiometry (meV/atom): 13
data_LiSnHgBi
_chemical_formula_sum 'Li4 Sn4 Hg4 Bi4'
_cell_length_a 7.5148
_cell_length_b 7.5148
_cell_length_c 7.5148
_cell_angle_alpha 90.00
_cell_angle_beta 90.00
_cell_angle_gamma 90.00
_symmetry_space_group_name_H-M 'F -4 3 m'
_symmetry_Int_Tables_number 216
_symmetry_space_group_name_Hall 'F -4 2 3'
loop_
_atom_site_label
_atom_site_fract_x
_atom_site_fract_y
_atom_site_fract_z
Li1 0.0000 0.0000 0.0000
Sn1 0.0000 0.0000 0.5000
Hg1 0.2500 0.2500 0.7500
Bi1 0.2500 0.2500 0.2500

***

[20]
# PBE LaYCl, relaxed
# Uncorrected formation energy (meV per atom): -820
# Energy above the lowest structure with this stoichiometry (meV/atom): 121
data_LaYCl
_chemical_formula_sum 'La4 Y4 Cl4'
_cell_length_a 3.8885
_cell_length_b 6.1250
_cell_length_c 14.9768
_cell_angle_alpha 90.00
_cell_angle_beta 90.00
_cell_angle_gamma 90.00
_symmetry_space_group_name_H-M 'F m m 2'
_symmetry_Int_Tables_number 42
_symmetry_space_group_name_Hall 'F 2 -2'
loop_
_atom_site_label
_atom_site_fract_x
_atom_site_fract_y
_atom_site_fract_z
La1 0.0000 0.0000 0.0000
Y1 0.0000 0.0000 0.6883
Cl1 0.0000 0.0000 0.3328

***

[21]
# PBE ZrTlS2F, relaxed
# Uncorrected formation energy (meV per atom): -1736
# Energy above the lowest structure with this stoichiometry (meV/atom): 0
data_ZrTlS2F
_chemical_formula_sum 'Zr2 Tl2 S4 F2'
_cell_length_a 8.0080
_cell_length_b 3.7362
_cell_length_c 8.6655
_cell_angle_alpha 90.00
_cell_angle_beta 107.48
_cell_angle_gamma 90.00
_symmetry_space_group_name_H-M 'P 1 21/m 1'
_symmetry_Int_Tables_number 11
_symmetry_space_group_name_Hall '-P 2yb'
loop_
_atom_site_label
_atom_site_fract_x
_atom_site_fract_y
_atom_site_fract_z
Zr1 0.1705 0.2500 0.1762
Tl1 0.2753 0.2500 0.6937
S1 0.1461 0.7500 0.3668
S2 0.1715 0.7500 0.9620
F1 0.4344 0.2500 0.2392

***

[22]
# PBE AsSe3, relaxed
# Uncorrected formation energy (meV per atom): 263
# Energy above the lowest structure with this stoichiometry (meV/atom): 192
data_AsSe3
_chemical_formula_sum 'As4 Se12'
_cell_length_a 7.0875
_cell_length_b 14.0856
_cell_length_c 4.1620
_cell_angle_alpha 90.00
_cell_angle_beta 90.00
_cell_angle_gamma 90.00
_symmetry_space_group_name_H-M 'C m c m'
_symmetry_Int_Tables_number 63
_symmetry_space_group_name_Hall '-C 2c 2'
loop_
_atom_site_label
_atom_site_fract_x
_atom_site_fract_y
_atom_site_fract_z
As1 0.0000 0.0635 0.2500
Se1 0.0000 0.4450 0.2500
Se2 0.2438 0.3259 0.7500

***

[23]
# PBE Na2CaY, relaxed
# E_form (meV/atom): 476
# Energy above the lowest structure with this stoichiometry (meV/atom): 198
data_Na2CaY
_chemical_formula_sum 'Na8 Ca4 Y4'
_cell_length_a 9.1026
_cell_length_b 9.1026
_cell_length_c 7.0248
_cell_angle_alpha 90.00
_cell_angle_beta 90.00
_cell_angle_gamma 90.00
_symmetry_space_group_name_H-M 'I -4 2 d'
_symmetry_Int_Tables_number 122
_symmetry_space_group_name_Hall 'I -4 2bw'
loop_
_atom_site_label
_atom_site_fract_x
_atom_site_fract_y
_atom_site_fract_z
Na1 0.2475 0.7500 0.1250
Ca1 0.0000 0.0000 0.0000
Y1 0.0000 0.0000 0.5000

***

[24]
# PBE Ba2Hg6Pb, relaxed
# E_form (meV/atom): -401
data_Ba2Hg6Pb
_chemical_formula_sum 'Ba4 Hg12 Pb2'
_cell_length_a 12.1140
_cell_length_b 6.9928
_cell_length_c 6.5857
_cell_angle_alpha 90.00
_cell_angle_beta 90.01
_cell_angle_gamma 90.00
_symmetry_space_group_name_H-M 'C 1 2/m 1'
_symmetry_Int_Tables_number 12
_symmetry_space_group_name_Hall '-C 2y'
loop_
_atom_site_label
_atom_site_fract_x
_atom_site_fract_y
_atom_site_fract_z
Ba1 0.1669 0.0000 0.3260
Hg1 0.0911 0.2272 0.8376
Hg2 0.1832 0.5000 0.1636
Pb1 0.0000 0.5000 0.5000

***

[25]
# PBE MgAlTe2, relaxed
# Uncorrected formation energy (meV per atom): -254
data_MgAlTe2
_chemical_formula_sum 'Mg1 Al1 Te2'
_cell_length_a 4.1984
_cell_length_b 3.8371
_cell_length_c 7.0050
_cell_angle_alpha 90.00
_cell_angle_beta 93.75
_cell_angle_gamma 90.00
_symmetry_space_group_name_H-M 'P 1 2/m 1'
_symmetry_Int_Tables_number 10
_symmetry_space_group_name_Hall '-P 2y'
loop_
_atom_site_label
_atom_site_fract_x
_atom_site_fract_y
_atom_site_fract_z
Mg1 0.0000 0.0000 0.0000
Al1 0.0000 0.0000 0.5000
Te1 0.2870 0.5000 0.7457

***

Quick rundown of energy, same order as above: -11.2 -10.2 -34.9 -34.9 -112.5 -13.2 -79.6 -204.3 -121.5 -128.5 -164.8 -34.9 -24.3 -503.5 -55.5 -93.2 -35.6 -67.6 -42.7 -62.8 -59.4 -56.2 -36.8 -25.9 -12.6 eV for the cell shown